DFT (GGA-PBE) results for an optimized crystal structure of SmTm2CdPd4.

Unit cell a=4.877 b=4.877 c=8.434 alpha=73.20 beta=73.20 gamma=60.00
Atoms (fractional coordinates):
Sm (0.000, 0.000, 0.000)
Tm (0.757, 0.757, 0.729)
Tm (0.243, 0.243, 0.271)
Cd (0.500, 0.500, 0.500)
Pd (0.376, 0.376, 0.872)
Pd (0.878, 0.878, 0.367)
Pd (0.122, 0.122, 0.633)
Pd (0.624, 0.624, 0.128)

Values from the calculation:
Energy of formation from the pure elements: -6.4 eV per formula unit


DFT (GGA-PBE) results for an optimized crystal structure of SmYCdPd.

Unit cell a=5.183 b=5.183 c=5.183 alpha=60.00 beta=60.00 gamma=60.00
Atoms (fractional coordinates):
Y (0.750, 0.750, 0.750)
Pd (0.500, 0.500, 0.500)
Sm (0.250, 0.250, 0.250)
Cd (0.000, 0.000, 0.000)

Values from the calculation:
Energy of formation from the pure elements: -2.1 eV per formula unit


DFT (GGA-PBE) results for an optimized crystal structure of SmZnCdPd.

Unit cell a=4.881 b=4.881 c=4.881 alpha=60.00 beta=60.00 gamma=60.00
Atoms (fractional coordinates):
Zn (0.750, 0.750, 0.750)
Pd (0.250, 0.250, 0.250)
Sm (0.500, 0.500, 0.500)
Cd (0.000, 0.000, 0.000)

Values from the calculation:
Energy of formation from the pure elements: -1.9 eV per formula unit


DFT (GGA-PBE) results for an optimized crystal structure of Sm2Zn2CdPd5.

Unit cell a=3.832 b=9.837 c=9.837 alpha=90.00 beta=90.00 gamma=90.00
Atoms (fractional coordinates):
Sm (0.000, 0.678, 0.178)
Sm (0.000, 0.322, 0.822)
Sm (0.000, 0.178, 0.322)
Sm (0.000, 0.822, 0.678)
Zn (0.000, 0.119, 0.619)
Zn (0.000, 0.881, 0.381)
Zn (0.000, 0.619, 0.881)
Zn (0.000, 0.381, 0.119)
Cd (0.000, 0.000, 0.000)
Cd (0.000, 0.500, 0.500)
Pd (0.500, 0.209, 0.067)
Pd (0.500, 0.791, 0.933)
Pd (0.500, 0.067, 0.791)
Pd (0.500, 0.709, 0.433)
Pd (0.500, 0.933, 0.209)
Pd (0.500, 0.291, 0.567)
Pd (0.500, 0.567, 0.709)
Pd (0.500, 0.433, 0.291)
Pd (0.500, 0.500, 0.000)
Pd (0.500, 0.000, 0.500)

Values from the calculation:
Energy of formation from the pure elements: -6.5 eV per formula unit


DFT (GGA-PBE) results for an optimized crystal structure of Cd2Sn2Pd7.

Unit cell a=6.153 b=5.957 c=6.153 alpha=90.00 beta=98.85 gamma=90.00
Atoms (fractional coordinates):
Cd (0.817, 0.500, 0.817)
Cd (0.183, 0.500, 0.183)
Sn (0.717, 0.000, 0.283)
Sn (0.283, 0.000, 0.717)
Pd (0.000, 0.270, 0.500)
Pd (0.500, 0.730, 0.000)
Pd (0.000, 0.730, 0.500)
Pd (0.500, 0.270, 0.000)
Pd (0.000, 0.000, 0.000)
Pd (0.500, 0.724, 0.500)
Pd (0.500, 0.276, 0.500)

Values from the calculation:
Energy of formation from the pure elements: -1.7 eV per formula unit


DFT (GGA-PBE) results for an optimized crystal structure of Cd3Sn4Pd4.

Unit cell a=3.355 b=8.504 c=9.144 alpha=117.71 beta=100.57 gamma=90.00
Atoms (fractional coordinates):
Cd (0.092, 0.092, 0.184)
Cd (0.908, 0.908, 0.816)
Cd (0.000, 0.500, 0.000)
Sn (0.334, 0.137, 0.667)
Sn (0.666, 0.470, 0.333)
Sn (0.666, 0.863, 0.333)
Sn (0.334, 0.530, 0.667)
Pd (0.259, 0.759, 0.518)
Pd (0.741, 0.241, 0.482)
Pd (0.500, 0.772, 0.000)
Pd (0.500, 0.228, 0.000)

Values from the calculation:
Energy of formation from the pure elements: -3.7 eV per formula unit


DFT (GGA-PBE) results for an optimized crystal structure of Cd2SnPd.

Unit cell a=3.740 b=3.740 c=5.939 alpha=90.00 beta=90.00 gamma=90.00
Atoms (fractional coordinates):
Sn (0.500, 0.500, 0.500)
Pd (0.500, 0.500, 0.000)
Cd (0.000, 0.000, 0.766)
Cd (0.000, 0.000, 0.234)

Values from the calculation:
Energy of formation from the pure elements: -0.6 eV per formula unit


DFT (GGA-PBE) results for an optimized crystal structure of CdSn2Pd8.

Unit cell a=4.203 b=7.260 c=7.485 alpha=119.01 beta=106.31 gamma=90.00
Atoms (fractional coordinates):
Cd (0.500, 0.000, 0.000)
Sn (0.182, 0.682, 0.363)
Sn (0.818, 0.318, 0.637)
Pd (0.662, 0.893, 0.324)
Pd (0.338, 0.569, 0.676)
Pd (0.154, 0.154, 0.308)
Pd (0.000, 0.290, 0.000)
Pd (0.846, 0.846, 0.692)
Pd (0.662, 0.431, 0.324)
Pd (0.338, 0.107, 0.676)
Pd (0.000, 0.710, 0.000)

Values from the calculation:
Energy of formation from the pure elements: -4.6 eV per formula unit
Offset from the most stable computed form: 0 meV/atom


DFT (GGA-PBE) results for an optimized crystal structure of CdSn2Pd4.

Unit cell a=5.980 b=7.138 c=7.205 alpha=112.24 beta=104.02 gamma=104.49
Atoms (fractional coordinates):
Cd (0.316, 0.736, 0.545)
Cd (0.010, 0.927, 0.966)
Sn (0.532, 0.415, 0.683)
Sn (0.783, 0.919, 0.391)
Sn (0.582, 0.235, 0.139)
Sn (0.070, 0.469, 0.781)
Pd (0.055, 0.275, 0.350)
Pd (0.355, 0.516, 0.157)
Pd (0.817, 0.612, 0.521)
Pd (0.742, 0.129, 0.793)
Pd (0.356, 0.004, 0.344)
Pd (0.219, 0.113, 0.736)
Pd (0.525, 0.809, 0.978)
Pd (0.888, 0.592, 0.118)

Values from the calculation:
Energy of formation from the pure elements: -2.9 eV per formula unit
Offset from the most stable computed form: 0 meV/atom


DFT (GGA-PBE) results for an optimized crystal structure of CdSnPd5.

Unit cell a=5.597 b=5.597 c=10.621 alpha=67.11 beta=67.11 gamma=58.04
Atoms (fractional coordinates):
Cd (0.000, 0.000, 0.000)
Cd (0.000, 0.000, 0.500)
Sn (0.431, 0.569, 0.250)
Sn (0.569, 0.431, 0.750)
Pd (0.962, 0.547, 0.243)
Pd (0.285, 0.279, 0.503)
Pd (0.547, 0.962, 0.743)
Pd (0.929, 0.071, 0.250)
Pd (0.721, 0.715, 0.997)
Pd (0.279, 0.285, 0.003)
Pd (0.071, 0.929, 0.750)
Pd (0.453, 0.038, 0.257)
Pd (0.715, 0.721, 0.497)
Pd (0.038, 0.453, 0.757)

Values from the calculation:
Energy of formation from the pure elements: -1.8 eV per formula unit
Offset from the most stable computed form: 86 meV/atom


DFT (GGA-PBE) results for an optimized crystal structure of Cd2SnPd8.

Unit cell a=4.607 b=6.020 c=7.842 alpha=112.57 beta=107.08 gamma=90.00
Atoms (fractional coordinates):
Cd (0.181, 0.681, 0.362)
Cd (0.819, 0.319, 0.638)
Sn (0.500, 0.000, 0.000)
Pd (0.650, 0.888, 0.301)
Pd (0.350, 0.587, 0.699)
Pd (0.172, 0.172, 0.343)
Pd (0.000, 0.261, 0.000)
Pd (0.828, 0.828, 0.657)
Pd (0.650, 0.413, 0.301)
Pd (0.350, 0.112, 0.699)
Pd (0.000, 0.739, 0.000)

Values from the calculation:
Energy of formation from the pure elements: -3.2 eV per formula unit
Offset from the most stable computed form: 68 meV/atom


DFT (GGA-PBE) results for an optimized crystal structure of Cd9SnPd2.

Unit cell a=7.491 b=9.196 c=9.196 alpha=80.45 beta=65.97 gamma=65.97
Atoms (fractional coordinates):
Cd (0.750, 0.500, 0.500)
Cd (0.000, 0.000, 0.000)
Cd (0.001, 0.924, 0.683)
Cd (0.607, 0.076, 0.317)
Cd (0.674, 0.183, 0.576)
Cd (0.433, 0.817, 0.424)
Cd (0.749, 0.817, 0.576)
Cd (0.143, 0.183, 0.424)
Cd (0.076, 0.924, 0.317)
Cd (0.317, 0.076, 0.683)
Cd (0.749, 0.576, 0.817)
Cd (0.143, 0.424, 0.183)
Cd (0.076, 0.317, 0.924)
Cd (0.317, 0.683, 0.076)
Cd (0.001, 0.683, 0.924)
Cd (0.607, 0.317, 0.076)
Cd (0.674, 0.576, 0.183)
Cd (0.433, 0.424, 0.817)
Sn (0.500, 0.000, 0.000)
Sn (0.250, 0.500, 0.500)
Pd (0.875, 0.250, 0.750)
Pd (0.875, 0.750, 0.250)
Pd (0.875, 0.250, 0.250)
Pd (0.375, 0.750, 0.750)

Values from the calculation:
Energy of formation from the pure elements: -1.0 eV per formula unit